1.
FeGe2Mo: optimized geometry, PBE-GGA.

Unit cell a=2.8859 b=2.8859 c=23.9683 alpha=90.00 beta=90.00 gamma=120.00
Space group R-3m (No. 166, hexagonal axes)
Symmetry-distinct sites (fractional):
Fe  0.0000  0.0000  0.0000 [3 per cell]
Ge  0.0000  0.0000  0.2571 [6 per cell]
Mo  0.0000  0.0000  0.5000 [3 per cell]

Formation enthalpy at 0 K, meV per atom: 130
DOS at the Fermi energy, states/eV per cell: 11.36



2.
TaAlRe2: optimized geometry, PBE-GGA.

Unit cell a=3.172 b=4.500 c=8.828 alpha=90.00 beta=90.00 gamma=90.00
Space group Cmm2 (No. 35)
Symmetry-distinct sites (fractional):
Ta  0.000  0.000  0.000 [2 per cell]
Al  0.000  0.500  0.741 [2 per cell]
Re  0.000  0.000  0.501 [2 per cell]
Re  0.000  0.500  0.256 [2 per cell]

Formation enthalpy at 0 K, meV per atom: 13
DOS at the Fermi energy, states/eV per cell: 6.56



3.
Rb2HgS2: optimized geometry, PBE-GGA.

Unit cell a=10.105 b=10.105 c=3.070 alpha=90.00 beta=90.00 gamma=90.00
Space group P4/mbm (No. 127)
Symmetry-distinct sites (fractional):
Rb  0.139  0.361  0.000 [4 per cell]
Hg  0.000  0.000  0.000 [2 per cell]
S  0.157  0.657  0.500 [4 per cell]

Total DFT energy (no corrections), eV for the cell shown: -24.06
DOS at the Fermi energy, states/eV per cell: 10.86